No. 1
This record from the Alexandria database describes an optimized crystal structure of PmMgTlH. The functional is GGA-PBE. Values from VASP.

Cell and atoms, written as Quantum ESPRESSO input:
```
&SYSTEM
  ibrav = 0, nat = 8, ntyp = 4
/
ATOMIC_SPECIES
Pm 145.00 Pm.upf
Mg 24.30 Mg.upf
Tl 204.38 Tl.upf
H 1.01 H.upf
CELL_PARAMETERS angstrom
4.400 0.000 0.000
0.000 4.400 0.000
0.000 0.000 8.377
ATOMIC_POSITIONS crystal
Pm 0.250 0.250 0.129
Pm 0.750 0.750 0.871
Mg 0.250 0.750 0.500
Mg 0.750 0.250 0.500
Tl 0.250 0.250 0.733
Tl 0.750 0.750 0.267
H 0.250 0.750 0.000
H 0.750 0.250 0.000
```

Output
space group	No. 129
DFT total energy	-27.25	eV/cell

---

No. 2
This record from the Alexandria database describes an optimized crystal structure of PrMgH. The functional is GGA-PBE. Values from VASP.

Cell and atoms, written as Quantum ESPRESSO input:
```
&SYSTEM
  ibrav = 0, nat = 3, ntyp = 3
/
ATOMIC_SPECIES
Pr 140.91 Pr.upf
Mg 24.30 Mg.upf
H 1.01 H.upf
CELL_PARAMETERS angstrom
-1.665 1.665 6.158
1.665 -1.665 6.158
1.665 1.665 -6.158
ATOMIC_POSITIONS crystal
Pr 0.000 0.000 0.000
Mg 0.285 0.285 0.000
H 0.529 0.529 0.000
```

Output
E above lowest polymorph	6.02	kcal/mol of atoms
space group	No. 107

---

No. 3
This record from the Alexandria database describes an optimized crystal structure of Pr12Mg3H5. The functional is GGA-PBE. Values from VASP.

Cell and atoms, written as Quantum ESPRESSO input:
```
&SYSTEM
  ibrav = 0, nat = 80, ntyp = 3
/
ATOMIC_SPECIES
Pr 140.91 Pr.upf
Mg 24.30 Mg.upf
H 1.01 H.upf
CELL_PARAMETERS angstrom
-8.180 8.180 8.180
8.180 -8.180 8.180
8.180 8.180 -8.180
ATOMIC_POSITIONS crystal
Pr 0.010 0.203 0.106
Pr 0.010 0.308 0.905
Pr 0.095 0.606 0.403
Pr 0.095 0.990 0.692
Pr 0.097 0.703 0.692
Pr 0.097 0.894 0.405
Pr 0.106 0.010 0.203
Pr 0.106 0.595 0.903
Pr 0.192 0.203 0.597
Pr 0.192 0.490 0.595
Pr 0.203 0.106 0.010
Pr 0.203 0.597 0.192
Pr 0.297 0.308 0.903
Pr 0.297 0.490 0.394
Pr 0.308 0.903 0.297
Pr 0.308 0.905 0.010
Pr 0.394 0.297 0.490
Pr 0.394 0.597 0.905
Pr 0.403 0.095 0.606
Pr 0.403 0.808 0.797
Pr 0.405 0.097 0.894
Pr 0.405 0.808 0.510
Pr 0.490 0.394 0.297
Pr 0.490 0.595 0.192
Pr 0.510 0.405 0.808
Pr 0.510 0.606 0.703
Pr 0.595 0.192 0.490
Pr 0.595 0.903 0.106
Pr 0.597 0.192 0.203
Pr 0.597 0.905 0.394
Pr 0.606 0.403 0.095
Pr 0.606 0.703 0.510
Pr 0.692 0.095 0.990
Pr 0.692 0.097 0.703
Pr 0.703 0.510 0.606
Pr 0.703 0.692 0.097
Pr 0.797 0.403 0.808
Pr 0.797 0.894 0.990
Pr 0.808 0.510 0.405
Pr 0.808 0.797 0.403
Pr 0.894 0.405 0.097
Pr 0.894 0.990 0.797
Pr 0.903 0.106 0.595
Pr 0.903 0.297 0.308
Pr 0.905 0.010 0.308
Pr 0.905 0.394 0.597
Pr 0.990 0.692 0.095
Pr 0.990 0.797 0.894
Mg 0.125 0.250 0.375
Mg 0.125 0.375 0.750
Mg 0.250 0.375 0.125
Mg 0.250 0.875 0.625
Mg 0.375 0.125 0.250
Mg 0.375 0.750 0.125
Mg 0.625 0.250 0.875
Mg 0.625 0.875 0.750
Mg 0.750 0.125 0.375
Mg 0.750 0.625 0.875
Mg 0.875 0.625 0.250
Mg 0.875 0.750 0.625
H 0.000 0.000 0.000
H 0.000 0.000 0.500
H 0.000 0.500 0.000
H 0.000 0.500 0.500
H 0.125 0.750 0.875
H 0.125 0.875 0.250
H 0.250 0.125 0.875
H 0.250 0.625 0.375
H 0.375 0.250 0.625
H 0.375 0.625 0.750
H 0.500 0.000 0.000
H 0.500 0.000 0.500
H 0.500 0.500 0.000
H 0.500 0.500 0.500
H 0.625 0.375 0.250
H 0.625 0.750 0.375
H 0.750 0.375 0.625
H 0.750 0.875 0.125
H 0.875 0.125 0.750
H 0.875 0.250 0.125
```

Output
space group	No. 230
DFT total energy	-322.89	eV/cell

---

No. 4
This record from the Alexandria database describes an optimized crystal structure of PrMgH. The functional is GGA-PBE. Values from VASP.

Cell and atoms, written as Quantum ESPRESSO input:
```
&SYSTEM
  ibrav = 0, nat = 6, ntyp = 3
/
ATOMIC_SPECIES
Pr 140.91 Pr.upf
Mg 24.30 Mg.upf
H 1.01 H.upf
CELL_PARAMETERS angstrom
3.521 0.000 0.000
0.000 3.521 0.000
0.000 0.000 9.577
ATOMIC_POSITIONS crystal
Pr 0.250 0.250 0.146
Pr 0.750 0.750 0.854
Mg 0.250 0.250 0.595
Mg 0.750 0.750 0.405
H 0.250 0.250 0.888
H 0.750 0.750 0.112
```

Output
E above lowest polymorph	0.00	kcal/mol of atoms
space group	No. 129